[1]
Density functional theory data (PBE) for a geometry-optimized AcTbCe2 structure.

Its relative energy among the computed polymorphs is 0.05 eV/f.u. The density comes out at 8.2 g/cm3. As for the total magnetization: 2.10 μB per cell. The value obtained for the energy relative to the elements is 0.16 eV/atom.

The structure belongs to space group P4/mmm (No. 123); the cell edges are 3.627, 3.627 and 10.252 Å and the angles 90.00°, 90.00° and 90.00°. The asymmetric unit holds Ac at (0.000, 0.000, 0.000), Tb at (0.000, 0.000, 0.500) and Ce at (0.500, 0.500, 0.261).

***

[2]
Density functional theory data (PBE) for a geometry-optimized AcTbCe structure.

Its relative energy among the computed polymorphs is 0.03 eV/f.u. The density comes out at 8.3 g/cm3. As for the total magnetization: 0.95 μB per cell. The value obtained for the energy relative to the elements is 0.13 eV/atom.

The structure belongs to space group P3m1 (No. 156); the cell edges are 3.6944, 3.6944 and 8.9481 Å and the angles 90.00°, 90.00° and 120.00°. The asymmetric unit holds Ac at (0.0000, 0.0000, 0.0000), Tb at (0.6667, 0.3333, 0.3487) and Ce at (0.3333, 0.6667, 0.6631).

***

[3]
Density functional theory data (PBE) for a geometry-optimized AcTbCe2 structure.

Its relative energy among the computed polymorphs is 0.61 eV/f.u. The density comes out at 7.9 g/cm3. As for the total magnetization: 17.39 μB per cell. The value obtained for the energy relative to the elements is 0.30 eV/atom.

The structure belongs to space group Fm-3m (No. 225); the cell edges are 8.255, 8.255 and 8.255 Å and the angles 90.00°, 90.00° and 90.00°. The asymmetric unit holds Ac at (0.000, 0.000, 0.000), Tb at (0.000, 0.000, 0.500) and Ce at (0.250, 0.250, 0.250).

***

[4]
Density functional theory data (PBE) for a geometry-optimized AcTbCe2 structure.

Its relative energy among the computed polymorphs is 0.06 eV/f.u. The density comes out at 8.2 g/cm3. As for the total magnetization: 6.01 μB per cell. The value obtained for the energy relative to the elements is 0.16 eV/atom.

The structure belongs to space group R-3m (No. 166, hexagonal axes); the cell edges are 3.6216, 3.6216 and 35.4993 Å and the angles 90.00°, 90.00° and 120.00°. The asymmetric unit holds Ac at (0.0000, 0.0000, 0.0000), Tb at (0.0000, 0.0000, 0.5000) and Ce at (0.0000, 0.0000, 0.2475).

***

[5]
Density functional theory data (PBE) for a geometry-optimized Ac2Tb3CeTe6 structure.

The density comes out at 7.8 g/cm3. As for the total magnetization: 2.81 μB per cell. The calculation puts the formation energy (no corrections) at -1.37 eV/atom.

The structure belongs to space group C2/m (No. 12); the cell edges are 19.853, 4.444 and 9.186 Å and the angles 90.00°, 105.41° and 90.00°. The asymmetric unit holds Ac at (0.165, 0.000, 0.332), Tb at (0.000, 0.500, 0.500), Tb at (0.170, 0.000, 0.838), Ce at (0.000, 0.500, 0.000), Te at (0.007, 0.000, 0.746), Te at (0.162, 0.500, 0.599) and Te at (0.168, 0.500, 0.068).

***

[6]
Density functional theory data (PBE) for a geometry-optimized AcTb2Ce3Te6 structure.

The density comes out at 7.5 g/cm3. As for the total magnetization: 7.10 μB per cell. The calculation puts the formation energy (no corrections) at -1.36 eV/atom.

The structure belongs to space group C2/m (No. 12); the cell edges are 7.752, 13.452 and 7.838 Å and the angles 90.00°, 109.38° and 90.00°. The asymmetric unit holds Ac at (0.000, 0.000, 0.000), Tb at (0.000, 0.331, 0.000), Ce at (0.000, 0.158, 0.500), Ce at (0.000, 0.500, 0.500), Te at (0.230, 0.500, 0.241) and Te at (0.241, 0.326, 0.748).

***

[7]
Density functional theory data (PBE) for a geometry-optimized AcTb2CeTl4 structure.

The density comes out at 10.3 g/cm3. As for the total magnetization: 3.25 μB per cell. The value obtained for the energy relative to the elements is -0.30 eV/atom.

The structure belongs to space group R-3m (No. 166, hexagonal axes); the cell edges are 5.5459, 5.5459 and 27.2190 Å and the angles 90.00°, 90.00° and 120.00°. The asymmetric unit holds Ac at (0.0000, 0.0000, 0.0000), Tb at (0.0000, 0.0000, 0.2494), Ce at (0.0000, 0.0000, 0.5000), Tl at (0.0000, 0.0000, 0.1274) and Tl at (0.0000, 0.0000, 0.3781).

***

[8]
Density functional theory data (PBE) for a geometry-optimized AcTbCeTm structure.

The density comes out at 8.3 g/cm3. As for the total magnetization: 2.83 μB per cell. The value obtained for the energy relative to the elements is 0.18 eV/atom.

The structure belongs to space group F-43m (No. 216); the cell edges are 8.219, 8.219 and 8.219 Å and the angles 90.00°, 90.00° and 90.00°. The asymmetric unit holds Ac at (0.000, 0.000, 0.000), Tb at (0.250, 0.250, 0.750), Ce at (0.000, 0.000, 0.500) and Tm at (0.250, 0.250, 0.250).

***

[9]
Density functional theory data (PBE) for a geometry-optimized Ac2CeTc structure.

The density comes out at 8.4 g/cm3. As for the total magnetization: 0.00 μB per cell. The value obtained for the energy relative to the elements is -0.03 eV/atom.

The structure belongs to space group P2_1/m (No. 11); the cell edges are 4.031, 10.346 and 6.833 Å and the angles 90.00°, 106.99° and 90.00°. The asymmetric unit holds Ac at (0.143, 0.072, 0.283), Ce at (0.396, 0.250, 0.791) and Tc at (0.210, 0.750, 0.420).

***

[10]
Density functional theory data (PBE) for a geometry-optimized AcCe2Tc structure.

Its relative energy among the computed polymorphs is 0.00 eV/f.u. The density comes out at 9.1 g/cm3. As for the total magnetization: 0.00 μB per cell. The value obtained for the energy relative to the elements is 0.08 eV/atom.

The structure belongs to space group P4/mmm (No. 123); the cell edges are 3.536, 3.536 and 8.855 Å and the angles 90.00°, 90.00° and 90.00°. The asymmetric unit holds Ac at (0.000, 0.000, 0.000), Ce at (0.500, 0.500, 0.313) and Tc at (0.000, 0.000, 0.500).

***

[11]
Density functional theory data (PBE) for a geometry-optimized AcCe2Tc structure.

Its relative energy among the computed polymorphs is 0.05 eV/f.u. The density comes out at 8.0 g/cm3. As for the total magnetization: 1.60 μB per cell. The value obtained for the energy relative to the elements is 0.09 eV/atom.

The structure belongs to space group R3m (No. 160, hexagonal axes); the cell edges are 4.0244, 4.0244 and 26.8793 Å and the angles 90.00°, 90.00° and 120.00°. The asymmetric unit holds Ac at (0.0000, 0.0000, 0.0000), Ce at (0.0000, 0.0000, 0.2236), Ce at (0.0000, 0.0000, 0.4472) and Tc at (0.0000, 0.0000, 0.8403).

***

[12]
Density functional theory data (PBE) for a geometry-optimized AcCe2Tc structure.

Its relative energy among the computed polymorphs is 0.72 eV/f.u. The density comes out at 7.5 g/cm3. As for the total magnetization: 0.40 μB per cell. The value obtained for the energy relative to the elements is 0.26 eV/atom.

The structure belongs to space group R-3m (No. 166, hexagonal axes); the cell edges are 3.8669, 3.8669 and 30.9285 Å and the angles 90.00°, 90.00° and 120.00°. The asymmetric unit holds Ac at (0.0000, 0.0000, 0.0000), Ce at (0.0000, 0.0000, 0.1157) and Tc at (0.0000, 0.0000, 0.5000).

***

[13]
Density functional theory data (PBE) for a geometry-optimized AcCeTc4 structure.

The density comes out at 10.6 g/cm3. As for the total magnetization: 0.04 μB per cell. The value obtained for the energy relative to the elements is 0.15 eV/atom.

The structure belongs to space group F-43m (No. 216); the cell edges are 7.800, 7.800 and 7.800 Å and the angles 90.00°, 90.00° and 90.00°. The asymmetric unit holds Ac at (0.000, 0.000, 0.000), Ce at (0.250, 0.250, 0.250) and Tc at (0.125, 0.125, 0.625).

***

[14]
Density functional theory data (PBE) for a geometry-optimized AcCeZnTc structure.

The density comes out at 9.0 g/cm3. As for the total magnetization: 0.00 μB per cell. The value obtained for the energy relative to the elements is 0.08 eV/atom.

The structure belongs to space group F-43m (No. 216); the cell edges are 7.313, 7.313 and 7.313 Å and the angles 90.00°, 90.00° and 90.00°. The asymmetric unit holds Ac at (0.000, 0.000, 0.000), Ce at (0.000, 0.000, 0.500), Zn at (0.250, 0.250, 0.750) and Tc at (0.250, 0.250, 0.250).

***

[15]
Density functional theory data (PBE) for a geometry-optimized AcCeTe3 structure.

Its relative energy among the computed polymorphs is 0.00 eV/f.u. The density comes out at 7.0 g/cm3. As for the total magnetization: 3.83 μB per cell. The calculation puts the formation energy (no corrections) at -1.49 eV/atom.

The structure belongs to space group Pnma (No. 62); the cell edges are 8.565, 4.653 and 17.816 Å and the angles 90.00°, 90.00° and 90.00°. The asymmetric unit holds Ac at (0.134, 0.250, 0.201), Ce at (0.230, 0.750, 0.459), Te at (0.007, 0.250, 0.394), Te at (0.123, 0.750, 0.061) and Te at (0.155, 0.250, 0.785).

***

[16]
Density functional theory data (PBE) for a geometry-optimized AcCeTe structure.

Its relative energy among the computed polymorphs is 0.00 eV/f.u. The density comes out at 7.7 g/cm3. As for the total magnetization: 3.50 μB per cell. The calculation puts the formation energy (no corrections) at -0.68 eV/atom.

The structure belongs to space group I4mm (No. 107); the cell edges are 4.052, 4.052 and 12.960 Å and the angles 90.00°, 90.00° and 90.00°. The asymmetric unit holds Ac at (0.000, 0.000, 0.000), Ce at (0.000, 0.000, 0.711) and Te at (0.000, 0.000, 0.332).

***

[17]
Density functional theory data (PBE) for a geometry-optimized Ac4CeTe5 structure.

Its relative energy among the computed polymorphs is 0.00 eV/f.u. The density comes out at 7.7 g/cm3. As for the total magnetization: 3.60 μB per cell. The calculation puts the formation energy (no corrections) at -1.46 eV/atom.

The structure belongs to space group R-3m (No. 166, hexagonal axes); the cell edges are 4.6911, 4.6911 and 57.3277 Å and the angles 90.00°, 90.00° and 120.00°. The asymmetric unit holds Ac at (0.0000, 0.0000, 0.1028), Ac at (0.0000, 0.0000, 0.2995), Ce at (0.0000, 0.0000, 0.5000), Te at (0.0000, 0.0000, 0.0000), Te at (0.0000, 0.0000, 0.1969) and Te at (0.0000, 0.0000, 0.4016).

***

[18]
Density functional theory data (PBE) for a geometry-optimized Ac5CeTe8 structure.

The density comes out at 7.8 g/cm3. As for the total magnetization: 4.48 μB per cell. The calculation puts the formation energy (no corrections) at -1.54 eV/atom.

The structure belongs to space group I-4 (No. 82); the cell edges are 9.918, 9.918 and 9.944 Å and the angles 90.00°, 90.00° and 90.00°. The asymmetric unit holds Ac at (0.000, 0.000, 0.000), Ac at (0.123, 0.749, 0.624), Ce at (0.000, 0.500, 0.250), Te at (0.074, 0.821, 0.297) and Te at (0.077, 0.673, 0.953).

***

[19]
Density functional theory data (PBE) for a geometry-optimized Ac5CeTe6 structure.

The density comes out at 7.7 g/cm3. As for the total magnetization: 2.45 μB per cell. The calculation puts the formation energy (no corrections) at -1.47 eV/atom.

The structure belongs to space group C2/m (No. 12); the cell edges are 8.124, 14.080 and 8.151 Å and the angles 90.00°, 109.45° and 90.00°. The asymmetric unit holds Ac at (0.000, 0.000, 0.000), Ac at (0.000, 0.165, 0.500), Ac at (0.000, 0.328, 0.000), Ce at (0.000, 0.500, 0.500), Te at (0.241, 0.500, 0.250) and Te at (0.243, 0.338, 0.743).

***

[20]
Density functional theory data (PBE) for a geometry-optimized Ac2CeTe5 structure.

Its relative energy among the computed polymorphs is 0.00 eV/f.u. The density comes out at 7.1 g/cm3. As for the total magnetization: 0.25 μB per cell. The calculation puts the formation energy (no corrections) at -1.43 eV/atom.

The structure belongs to space group Pbam (No. 55); the cell edges are 8.872, 13.757 and 4.693 Å and the angles 90.00°, 90.00° and 90.00°. The asymmetric unit holds Ac at (0.045, 0.175, 0.000), Ce at (0.000, 0.500, 0.500), Te at (0.000, 0.000, 0.500), Te at (0.166, 0.702, 0.500) and Te at (0.178, 0.410, 0.000).